No. 1
# SbRuF3 (PBE, relaxed)
data_SbRuF3
_symmetry_space_group_name_H-M 'P 1'
_symmetry_Int_Tables_number 1
_symmetry_space_group_name_Hall 'P 1'
_cell_length_a 4.527
_cell_length_b 4.527
_cell_length_c 4.527
_cell_angle_alpha 90.00
_cell_angle_beta 90.00
_cell_angle_gamma 90.00
loop_
_atom_site_label
_atom_site_type_symbol
_atom_site_fract_x
_atom_site_fract_y
_atom_site_fract_z
Sb1 Sb 0.000 0.000 0.000
F1 F 0.000 0.500 0.000
F2 F 0.000 0.000 0.500
F3 F 0.500 0.000 0.000
Ru1 Ru 0.500 0.500 0.500
# - Space group: Pm-3m
# - V: 18.561 Å³ per atom
# - E_tot: -21.67 eV/f.u.
# - D(E_F): 0.737 states/eV/atom
# - Crystal system: cubic

No. 2
# Ca4ScCo (PBE, relaxed)
data_Ca4ScCo
_symmetry_space_group_name_H-M 'P 1'
_symmetry_Int_Tables_number 1
_symmetry_space_group_name_Hall 'P 1'
_cell_length_a 6.582
_cell_length_b 6.582
_cell_length_c 6.582
_cell_angle_alpha 60.00
_cell_angle_beta 60.00
_cell_angle_gamma 60.00
loop_
_atom_site_label
_atom_site_type_symbol
_atom_site_fract_x
_atom_site_fract_y
_atom_site_fract_z
Ca1 Ca 0.874 0.375 0.375
Ca2 Ca 0.375 0.375 0.874
Ca3 Ca 0.375 0.874 0.375
Ca4 Ca 0.375 0.375 0.375
Sc1 Sc 0.000 0.000 0.000
Co1 Co 0.750 0.750 0.750
# - Space group: F-43m
# - V: 33.607 Å³ per atom
# - D(E_F): 1.796 states/eV/atom
# - ΔH_f (0 K): 0.87 eV/atom
# - Crystal system: cubic

No. 3
# DyGa3CuPd (PBE, relaxed)
data_DyGa3CuPd
_symmetry_space_group_name_H-M 'P 1'
_symmetry_Int_Tables_number 1
_symmetry_space_group_name_Hall 'P 1'
_cell_length_a 5.949
_cell_length_b 5.922
_cell_length_c 6.857
_cell_angle_alpha 115.58
_cell_angle_beta 90.00
_cell_angle_gamma 90.00
loop_
_atom_site_label
_atom_site_type_symbol
_atom_site_fract_x
_atom_site_fract_y
_atom_site_fract_z
Dy1 Dy 0.750 0.290 0.581
Dy2 Dy 0.250 0.710 0.419
Ga1 Ga 0.250 0.142 0.284
Ga2 Ga 0.000 0.288 0.000
Ga3 Ga 0.500 0.712 0.000
Ga4 Ga 0.500 0.288 0.000
Ga5 Ga 0.000 0.712 0.000
Ga6 Ga 0.750 0.858 0.716
Cu1 Cu 0.250 0.928 0.855
Cu2 Cu 0.750 0.072 0.145
Pd1 Pd 0.250 0.347 0.695
Pd2 Pd 0.750 0.653 0.305
# - Space group: Cmcm
# - V: 18.158 Å³ per atom
# - D(E_F): 0.230 states/eV/atom
# - ΔH_f (0 K): -0.36 eV/atom
# - Crystal system: orthorhombic

No. 4
# Pm12TlPb7 (PBE, relaxed)
data_Pm12TlPb7
_symmetry_space_group_name_H-M 'P 1'
_symmetry_Int_Tables_number 1
_symmetry_space_group_name_Hall 'P 1'
_cell_length_a 9.804
_cell_length_b 9.804
_cell_length_c 9.804
_cell_angle_alpha 111.30
_cell_angle_beta 111.30
_cell_angle_gamma 111.30
loop_
_atom_site_label
_atom_site_type_symbol
_atom_site_fract_x
_atom_site_fract_y
_atom_site_fract_z
Pm1 Pm 0.000 0.277 0.723
Pm2 Pm 0.723 0.277 0.000
Pm3 Pm 0.479 0.152 0.479
Pm4 Pm 0.848 0.521 0.521
Pm5 Pm 0.277 0.000 0.723
Pm6 Pm 0.521 0.521 0.848
Pm7 Pm 0.479 0.479 0.152
Pm8 Pm 0.723 0.000 0.277
Pm9 Pm 0.152 0.479 0.479
Pm10 Pm 0.521 0.848 0.521
Pm11 Pm 0.277 0.723 0.000
Pm12 Pm 0.000 0.723 0.277
Tl1 Tl 0.000 0.000 0.000
Pb1 Pb 0.860 0.531 0.860
Pb2 Pb 0.469 0.140 0.140
Pb3 Pb 0.140 0.140 0.469
Pb4 Pb 0.500 0.500 0.500
Pb5 Pb 0.860 0.860 0.531
Pb6 Pb 0.531 0.860 0.860
Pb7 Pb 0.140 0.469 0.140
# - Space group: R-3m
# - V: 33.586 Å³ per atom
# - D(E_F): 1.083 states/eV/atom
# - ΔH_f (0 K): -0.25 eV/atom
# - Crystal system: trigonal

No. 5
# La2Pr3Ni2 (PBE, relaxed)
data_La2Pr3Ni2
_symmetry_space_group_name_H-M 'P 1'
_symmetry_Int_Tables_number 1
_symmetry_space_group_name_Hall 'P 1'
_cell_length_a 3.817
_cell_length_b 6.431
_cell_length_c 9.305
_cell_angle_alpha 110.76
_cell_angle_beta 90.00
_cell_angle_gamma 107.26
loop_
_atom_site_label
_atom_site_type_symbol
_atom_site_fract_x
_atom_site_fract_y
_atom_site_fract_z
La1 La 0.830 0.659 0.197
La2 La 0.170 0.341 0.803
Pr1 Pr 0.500 0.000 0.000
Pr2 Pr 0.617 0.234 0.422
Pr3 Pr 0.383 0.766 0.578
Ni1 Ni 0.838 0.675 0.782
Ni2 Ni 0.162 0.325 0.218
# - Space group: C2/m
# - V: 28.931 Å³ per atom
# - D(E_F): 1.296 states/eV/atom
# - ΔH_f (0 K): -0.17 eV/atom
# - Crystal system: monoclinic

No. 6
# RbSi2Se (PBE, relaxed)
data_RbSi2Se
_symmetry_space_group_name_H-M 'P 1'
_symmetry_Int_Tables_number 1
_symmetry_space_group_name_Hall 'P 1'
_cell_length_a 8.178
_cell_length_b 8.178
_cell_length_c 6.687
_cell_angle_alpha 52.31
_cell_angle_beta 52.31
_cell_angle_gamma 90.00
loop_
_atom_site_label
_atom_site_type_symbol
_atom_site_fract_x
_atom_site_fract_y
_atom_site_fract_z
Si1 Si 0.542 0.125 0.250
Si2 Si 0.208 0.625 0.250
Si3 Si 0.375 0.458 0.750
Si4 Si 0.875 0.792 0.750
Se1 Se 0.500 0.500 0.000
Se2 Se 0.250 0.750 0.500
Rb1 Rb 0.000 0.000 0.000
Rb2 Rb 0.750 0.250 0.500
# - Space group: I-42d
# - V: 28.080 Å³ per atom
# - E_tot: -13.50 eV/f.u.
# - D(E_F): 0.799 states/eV/atom
# - Crystal system: tetragonal

No. 7
# CrBr2Cl (PBE, relaxed)
data_CrBr2Cl
_symmetry_space_group_name_H-M 'P 1'
_symmetry_Int_Tables_number 1
_symmetry_space_group_name_Hall 'P 1'
_cell_length_a 4.967
_cell_length_b 4.967
_cell_length_c 4.967
_cell_angle_alpha 60.00
_cell_angle_beta 60.00
_cell_angle_gamma 60.00
loop_
_atom_site_label
_atom_site_type_symbol
_atom_site_fract_x
_atom_site_fract_y
_atom_site_fract_z
Cr1 Cr 0.500 0.500 0.500
Br1 Br 0.250 0.250 0.250
Br2 Br 0.750 0.750 0.750
Cl1 Cl 0.000 0.000 0.000
# - Space group: Fm-3m
# - V: 21.669 Å³ per atom
# - E_tot: -14.06 eV/f.u.
# - D(E_F): 0.588 states/eV/atom
# - Crystal system: cubic

No. 8
# NbTl2Cr2S6 (PBE, relaxed)
data_NbTl2Cr2S6
_symmetry_space_group_name_H-M 'P 1'
_symmetry_Int_Tables_number 1
_symmetry_space_group_name_Hall 'P 1'
_cell_length_a 5.729
_cell_length_b 5.729
_cell_length_c 8.337
_cell_angle_alpha 94.25
_cell_angle_beta 94.25
_cell_angle_gamma 121.10
loop_
_atom_site_label
_atom_site_type_symbol
_atom_site_fract_x
_atom_site_fract_y
_atom_site_fract_z
Nb1 Nb 0.000 0.000 0.500
Tl1 Tl 0.835 0.165 0.000
Tl2 Tl 0.165 0.835 0.000
Cr1 Cr 0.365 0.635 0.500
Cr2 Cr 0.635 0.365 0.500
S1 S 0.693 0.693 0.691
S2 S 0.033 0.396 0.665
S3 S 0.307 0.307 0.309
S4 S 0.396 0.033 0.665
S5 S 0.967 0.604 0.335
S6 S 0.604 0.967 0.335
# - Space group: C2/m
# - V: 21.056 Å³ per atom
# - E_tot: -65.53 eV/f.u.
# - D(E_F): 0.398 states/eV/atom
# - Crystal system: monoclinic

No. 9
# Cs3ThI8 (PBE, relaxed)
data_Cs3ThI8
_symmetry_space_group_name_H-M 'P 1'
_symmetry_Int_Tables_number 1
_symmetry_space_group_name_Hall 'P 1'
_cell_length_a 9.712
_cell_length_b 9.886
_cell_length_c 9.712
_cell_angle_alpha 60.58
_cell_angle_beta 90.00
_cell_angle_gamma 119.42
loop_
_atom_site_label
_atom_site_type_symbol
_atom_site_fract_x
_atom_site_fract_y
_atom_site_fract_z
Cs1 Cs 0.750 0.500 0.750
Cs2 Cs 0.250 0.500 0.250
Cs3 Cs 0.500 0.000 0.500
Th1 Th 0.000 0.000 0.000
I1 I 0.324 0.384 0.939
I2 I 0.061 0.384 0.676
I3 I 0.676 0.616 0.324
I4 I 0.939 0.616 0.061
I5 I 0.720 0.886 0.833
I6 I 0.167 0.886 0.280
I7 I 0.280 0.114 0.720
I8 I 0.833 0.114 0.167
# - Space group: I-42m
# - V: 55.895 Å³ per atom
# - E_tot: -37.08 eV/f.u.
# - D(E_F): 0.877 states/eV/atom
# - Crystal system: tetragonal

No. 10
# AsH (PBE, relaxed)
data_AsH
_symmetry_space_group_name_H-M 'P 1'
_symmetry_Int_Tables_number 1
_symmetry_space_group_name_Hall 'P 1'
_cell_length_a 4.616
_cell_length_b 4.616
_cell_length_c 4.616
_cell_angle_alpha 90.00
_cell_angle_beta 90.00
_cell_angle_gamma 90.00
loop_
_atom_site_label
_atom_site_type_symbol
_atom_site_fract_x
_atom_site_fract_y
_atom_site_fract_z
As1 As 0.000 0.000 0.000
As2 As 0.000 0.500 0.500
As3 As 0.500 0.000 0.500
As4 As 0.500 0.500 0.000
H1 H 0.250 0.250 0.250
H2 H 0.250 0.750 0.750
H3 H 0.750 0.250 0.750
H4 H 0.750 0.750 0.250
# - Space group: F-43m
# - V: 12.296 Å³ per atom
# - E_tot: -6.42 eV/f.u.
# - D(E_F): 0.645 states/eV/atom
# - Crystal system: cubic

No. 11
# YHf2ScH (PBE, relaxed)
data_YHf2ScH
_symmetry_space_group_name_H-M 'P 1'
_symmetry_Int_Tables_number 1
_symmetry_space_group_name_Hall 'P 1'
_cell_length_a 4.554
_cell_length_b 4.554
_cell_length_c 4.785
_cell_angle_alpha 90.00
_cell_angle_beta 90.00
_cell_angle_gamma 90.00
loop_
_atom_site_label
_atom_site_type_symbol
_atom_site_fract_x
_atom_site_fract_y
_atom_site_fract_z
Y1 Y 0.000 0.000 0.500
Sc1 Sc 0.500 0.500 0.500
Hf1 Hf 0.000 0.500 0.000
Hf2 Hf 0.500 0.000 0.000
H1 H 0.000 0.000 0.000
# - Space group: P4/mmm
# - V: 19.848 Å³ per atom
# - E_tot: -36.17 eV/f.u.
# - D(E_F): 1.226 states/eV/atom
# - Crystal system: tetragonal

No. 12
# NdSnRuRh (PBE, relaxed)
data_NdSnRuRh
_symmetry_space_group_name_H-M 'P 1'
_symmetry_Int_Tables_number 1
_symmetry_space_group_name_Hall 'P 1'
_cell_length_a 4.769
_cell_length_b 4.769
_cell_length_c 4.769
_cell_angle_alpha 60.00
_cell_angle_beta 60.00
_cell_angle_gamma 60.00
loop_
_atom_site_label
_atom_site_type_symbol
_atom_site_fract_x
_atom_site_fract_y
_atom_site_fract_z
Rh1 Rh 0.250 0.250 0.250
Nd1 Nd 0.500 0.500 0.500
Sn1 Sn 0.000 0.000 0.000
Ru1 Ru 0.750 0.750 0.750
# - Space group: F-43m
# - V: 19.174 Å³ per atom
# - D(E_F): 0.362 states/eV/atom
# - ΔH_f (0 K): -0.45 eV/atom
# - Crystal system: cubic